Entry 1:
Here is a relaxed structure of RbSnI3 from Alexandria via LeMat-Bulk. Energies are from PBE.

Unit cell a=13.838 b=13.838 c=13.838 alpha=152.73 beta=152.73 gamma=38.95
Element x y z (fractional)
Rb 0.000 0.000 0.000
Rb 0.750 0.250 0.500
Sn 0.190 0.690 0.500
Sn 0.310 0.810 0.500
I 0.290 0.290 0.000
I 0.372 0.122 0.250
I 0.710 0.710 0.000
I 0.872 0.122 0.750
I 0.878 0.128 0.250
I 0.878 0.628 0.750

Properties
The total energy comes out at -0.1778 Ry per atom. Its uncorrected formation energy is -0.50 eV/atom. The space group is I-4m2 (119). The value obtained for the volume is 55.5 A^3/atom.


Entry 2:
Here is a relaxed structure of RbSn2I4 from Alexandria via LeMat-Bulk. Energies are from PBE.

Unit cell a=7.427 b=7.427 c=16.203 alpha=90.00 beta=90.00 gamma=137.45
Element x y z (fractional)
Rb 0.130 0.870 0.750
Rb 0.870 0.130 0.250
Sn 0.383 0.617 0.554
Sn 0.383 0.617 0.946
Sn 0.617 0.383 0.054
Sn 0.617 0.383 0.446
I 0.000 0.000 0.000
I 0.000 0.000 0.500
I 0.266 0.734 0.109
I 0.266 0.734 0.391
I 0.445 0.555 0.750
I 0.555 0.445 0.250
I 0.734 0.266 0.609
I 0.734 0.266 0.891

Properties
The total energy comes out at -0.2060 Ry per atom. Its uncorrected formation energy is -0.63 eV/atom. The space group is Cmcm (63). The value obtained for the volume is 43.2 A^3/atom.


Entry 3:
Here is a relaxed structure of Rb3Sn2I9 from Alexandria via LeMat-Bulk. Energies are from PBE.

Unit cell a=8.494 b=8.494 c=10.421 alpha=90.00 beta=90.00 gamma=120.00
Element x y z (fractional)
Rb 0.000 0.000 0.000
Rb 0.333 0.667 0.347
Rb 0.667 0.333 0.653
Sn 0.333 0.667 0.818
Sn 0.667 0.333 0.182
I 0.000 0.500 0.000
I 0.168 0.336 0.666
I 0.168 0.832 0.666
I 0.336 0.168 0.334
I 0.500 0.000 0.000
I 0.500 0.500 0.000
I 0.664 0.832 0.666
I 0.832 0.168 0.334
I 0.832 0.664 0.334

Properties
The total energy comes out at -0.1938 Ry per atom. Its uncorrected formation energy is -0.86 eV/atom. The space group is P-3m1 (164). The value obtained for the volume is 46.5 A^3/atom.


Entry 4:
Here is a relaxed structure of Rb12Sn3I5 from Alexandria via LeMat-Bulk. Energies are from PBE.

Unit cell a=18.861 b=18.861 c=18.861 alpha=109.47 beta=109.47 gamma=109.47
Element x y z (fractional)
Rb 0.056 0.225 0.139
Rb 0.056 0.331 0.917
Rb 0.083 0.639 0.414
Rb 0.083 0.944 0.669
Rb 0.086 0.725 0.669
Rb 0.086 0.861 0.417
Rb 0.139 0.056 0.225
Rb 0.139 0.583 0.914
Rb 0.169 0.225 0.586
Rb 0.169 0.444 0.583
Rb 0.225 0.139 0.056
Rb 0.225 0.586 0.169
Rb 0.275 0.331 0.914
Rb 0.275 0.444 0.361
Rb 0.331 0.914 0.275
Rb 0.331 0.917 0.056
Rb 0.361 0.275 0.444
Rb 0.361 0.586 0.917
Rb 0.414 0.083 0.639
Rb 0.414 0.831 0.775
Rb 0.417 0.086 0.861
Rb 0.417 0.831 0.556
Rb 0.444 0.361 0.275
Rb 0.444 0.583 0.169
Rb 0.556 0.417 0.831
Rb 0.556 0.639 0.725
Rb 0.583 0.169 0.444
Rb 0.583 0.914 0.139
Rb 0.586 0.169 0.225
Rb 0.586 0.917 0.361
Rb 0.639 0.414 0.083
Rb 0.639 0.725 0.556
Rb 0.669 0.083 0.944
Rb 0.669 0.086 0.725
Rb 0.725 0.556 0.639
Rb 0.725 0.669 0.086
Rb 0.775 0.414 0.831
Rb 0.775 0.861 0.944
Rb 0.831 0.556 0.417
Rb 0.831 0.775 0.414
Rb 0.861 0.417 0.086
Rb 0.861 0.944 0.775
Rb 0.914 0.139 0.583
Rb 0.914 0.275 0.331
Rb 0.917 0.056 0.331
Rb 0.917 0.361 0.586
Rb 0.944 0.669 0.083
Rb 0.944 0.775 0.861
Sn 0.125 0.250 0.375
Sn 0.125 0.375 0.750
Sn 0.250 0.375 0.125
Sn 0.250 0.875 0.625
Sn 0.375 0.125 0.250
Sn 0.375 0.750 0.125
Sn 0.625 0.250 0.875
Sn 0.625 0.875 0.750
Sn 0.750 0.125 0.375
Sn 0.750 0.625 0.875
Sn 0.875 0.625 0.250
Sn 0.875 0.750 0.625
I 0.000 0.000 0.000
I 0.000 0.000 0.500
I 0.000 0.500 0.000
I 0.000 0.500 0.500
I 0.125 0.750 0.875
I 0.125 0.875 0.250
I 0.250 0.125 0.875
I 0.250 0.625 0.375
I 0.375 0.250 0.625
I 0.375 0.625 0.750
I 0.500 0.000 0.000
I 0.500 0.000 0.500
I 0.500 0.500 0.000
I 0.500 0.500 0.500
I 0.625 0.375 0.250
I 0.625 0.750 0.375
I 0.750 0.375 0.625
I 0.750 0.875 0.125
I 0.875 0.125 0.750
I 0.875 0.250 0.125

Properties
The total energy comes out at -0.1634 Ry per atom. Its uncorrected formation energy is -0.65 eV/atom. The space group is Ia-3d (230). The value obtained for the volume is 64.6 A^3/atom.


Entry 5:
Here is a relaxed structure of Rb3SnI4 from Alexandria via LeMat-Bulk. Energies are from PBE.

Unit cell a=7.318 b=14.506 c=7.318 alpha=90.00 beta=90.00 gamma=90.00
Element x y z (fractional)
Rb 0.250 0.000 0.249
Rb 0.250 0.250 0.752
Rb 0.250 0.500 0.249
Rb 0.750 0.000 0.751
Rb 0.750 0.500 0.751
Rb 0.750 0.750 0.248
Sn 0.250 0.750 0.747
Sn 0.750 0.250 0.253
I 0.250 0.250 0.253
I 0.250 0.522 0.749
I 0.250 0.750 0.246
I 0.250 0.978 0.749
I 0.750 0.022 0.251
I 0.750 0.250 0.754
I 0.750 0.478 0.251
I 0.750 0.750 0.747

Properties
The total energy comes out at -0.1983 Ry per atom. Its uncorrected formation energy is -1.06 eV/atom. The space group is Pmmn (59). The value obtained for the volume is 48.5 A^3/atom.


Entry 6:
Here is a relaxed structure of RbSnI3 from Alexandria via LeMat-Bulk. Energies are from PBE.

Unit cell a=9.977 b=9.977 c=9.977 alpha=117.19 beta=117.19 gamma=94.93
Element x y z (fractional)
Rb 0.136 0.136 0.000
Rb 0.864 0.864 0.000
Sn 0.500 0.500 0.000
Sn 0.750 0.250 0.500
I 0.128 0.329 0.799
I 0.510 0.010 0.500
I 0.530 0.329 0.201
I 0.671 0.470 0.799
I 0.671 0.872 0.201
I 0.990 0.490 0.500

Properties
The total energy comes out at -0.1826 Ry per atom. Its uncorrected formation energy is -0.56 eV/atom. The space group is I-4m2 (119). The value obtained for the volume is 72.9 A^3/atom.


Entry 7:
Here is a relaxed structure of RbSnI3 from Alexandria via LeMat-Bulk. Energies are from PBE.

Unit cell a=8.928 b=12.261 c=8.439 alpha=90.00 beta=90.00 gamma=90.00
Element x y z (fractional)
Rb 0.081 0.250 0.030
Rb 0.419 0.750 0.530
Rb 0.581 0.250 0.470
Rb 0.919 0.750 0.970
Sn 0.000 0.000 0.500
Sn 0.000 0.500 0.500
Sn 0.500 0.000 0.000
Sn 0.500 0.500 0.000
I 0.019 0.750 0.402
I 0.198 0.548 0.807
I 0.198 0.952 0.807
I 0.302 0.048 0.307
I 0.302 0.452 0.307
I 0.481 0.250 0.902
I 0.519 0.750 0.098
I 0.698 0.548 0.693
I 0.698 0.952 0.693
I 0.802 0.048 0.193
I 0.802 0.452 0.193
I 0.981 0.250 0.598

Properties
The total energy comes out at -0.2084 Ry per atom. Its uncorrected formation energy is -0.91 eV/atom. The space group is Pnma (62). The value obtained for the volume is 46.2 A^3/atom.


Entry 8:
Here is a relaxed structure of Rb2SnI from Alexandria via LeMat-Bulk. Energies are from PBE.

Unit cell a=8.098 b=8.098 c=8.098 alpha=103.01 beta=103.01 gamma=123.35
Element x y z (fractional)
Rb 0.106 0.625 0.981
Rb 0.375 0.356 0.481
Rb 0.644 0.125 0.019
Rb 0.875 0.894 0.519
Sn 0.250 0.750 0.500
Sn 0.500 0.500 0.000
I 0.000 0.000 0.000
I 0.750 0.250 0.500

Properties
The total energy comes out at -0.1625 Ry per atom. Its uncorrected formation energy is -0.34 eV/atom. The relative energy among the computed polymorphs is 83.1 meV/atom. The space group is I-42d (122). The value obtained for the volume is 48.8 A^3/atom.


Entry 9:
Here is a relaxed structure of Rb2Sn2I5 from Alexandria via LeMat-Bulk. Energies are from PBE.

Unit cell a=13.666 b=13.666 c=13.666 alpha=54.94 beta=140.82 gamma=143.06
Element x y z (fractional)
Rb 0.032 0.101 0.132
Rb 0.032 0.399 0.431
Rb 0.968 0.601 0.569
Rb 0.968 0.899 0.868
Sn 0.354 0.653 0.201
Sn 0.452 0.153 0.799
Sn 0.473 0.473 0.000
Sn 0.473 0.973 0.500
I 0.138 0.815 0.823
I 0.372 0.076 0.558
I 0.372 0.314 0.796
I 0.484 0.211 0.238
I 0.484 0.746 0.773
I 0.517 0.576 0.204
I 0.517 0.814 0.442
I 0.972 0.246 0.762
I 0.972 0.711 0.227
I 0.992 0.315 0.177

Properties
The total energy comes out at -0.2016 Ry per atom. Its uncorrected formation energy is -0.78 eV/atom. The space group is Ima2 (46). The value obtained for the volume is 53.5 A^3/atom.


Entry 10:
Here is a relaxed structure of Rb3Sn5I12 from Alexandria via LeMat-Bulk. Energies are from PBE.

Unit cell a=17.582 b=17.582 c=17.582 alpha=109.47 beta=109.47 gamma=109.47
Element x y z (fractional)
Rb 0.125 0.250 0.375
Rb 0.125 0.375 0.750
Rb 0.250 0.375 0.125
Rb 0.250 0.875 0.625
Rb 0.375 0.125 0.250
Rb 0.375 0.750 0.125
Rb 0.625 0.250 0.875
Rb 0.625 0.875 0.750
Rb 0.750 0.125 0.375
Rb 0.750 0.625 0.875
Rb 0.875 0.625 0.250
Rb 0.875 0.750 0.625
Sn 0.000 0.000 0.000
Sn 0.000 0.000 0.500
Sn 0.000 0.500 0.000
Sn 0.000 0.500 0.500
Sn 0.125 0.750 0.875
Sn 0.125 0.875 0.250
Sn 0.250 0.125 0.875
Sn 0.250 0.625 0.375
Sn 0.375 0.250 0.625
Sn 0.375 0.625 0.750
Sn 0.500 0.000 0.000
Sn 0.500 0.000 0.500
Sn 0.500 0.500 0.000
Sn 0.500 0.500 0.500
Sn 0.625 0.375 0.250
Sn 0.625 0.750 0.375
Sn 0.750 0.375 0.625
Sn 0.750 0.875 0.125
Sn 0.875 0.125 0.750
Sn 0.875 0.250 0.125
I 0.028 0.202 0.118
I 0.028 0.326 0.909
I 0.084 0.702 0.674
I 0.084 0.882 0.409
I 0.091 0.618 0.416
I 0.091 0.972 0.674
I 0.118 0.028 0.202
I 0.118 0.591 0.916
I 0.174 0.202 0.584
I 0.174 0.472 0.591
I 0.202 0.118 0.028
I 0.202 0.584 0.174
I 0.298 0.326 0.916
I 0.298 0.472 0.382
I 0.326 0.909 0.028
I 0.326 0.916 0.298
I 0.382 0.298 0.472
I 0.382 0.584 0.909
I 0.409 0.084 0.882
I 0.409 0.826 0.528
I 0.416 0.091 0.618
I 0.416 0.826 0.798
I 0.472 0.382 0.298
I 0.472 0.591 0.174
I 0.528 0.409 0.826
I 0.528 0.618 0.702
I 0.584 0.174 0.202
I 0.584 0.909 0.382
I 0.591 0.174 0.472
I 0.591 0.916 0.118
I 0.618 0.416 0.091
I 0.618 0.702 0.528
I 0.674 0.084 0.702
I 0.674 0.091 0.972
I 0.702 0.528 0.618
I 0.702 0.674 0.084
I 0.798 0.416 0.826
I 0.798 0.882 0.972
I 0.826 0.528 0.409
I 0.826 0.798 0.416
I 0.882 0.409 0.084
I 0.882 0.972 0.798
I 0.909 0.028 0.326
I 0.909 0.382 0.584
I 0.916 0.118 0.591
I 0.916 0.298 0.326
I 0.972 0.674 0.091
I 0.972 0.798 0.882

Properties
The total energy comes out at -0.2032 Ry per atom. Its uncorrected formation energy is -0.69 eV/atom. The space group is Ia-3d (230). The value obtained for the volume is 52.3 A^3/atom.


Entry 11:
Here is a relaxed structure of RbSn3I from Alexandria via LeMat-Bulk. Energies are from PBE.

Unit cell a=6.039 b=6.039 c=6.039 alpha=90.00 beta=90.00 gamma=90.00
Element x y z (fractional)
Rb 0.000 0.000 0.000
Sn 0.000 0.500 0.500
Sn 0.500 0.000 0.500
Sn 0.500 0.500 0.000
I 0.500 0.500 0.500

Properties
The total energy comes out at -0.1801 Ry per atom. Its uncorrected formation energy is 0.45 eV/atom. The relative energy among the computed polymorphs is 0.0 meV/atom. The space group is Pm-3m (221). The value obtained for the volume is 44.0 A^3/atom.


Entry 12:
Here is a relaxed structure of RbSnI3 from Alexandria via LeMat-Bulk. Energies are from PBE.

Unit cell a=6.424 b=8.963 c=8.935 alpha=90.00 beta=109.79 gamma=90.00
Element x y z (fractional)
Rb 0.187 0.250 0.367
Rb 0.813 0.750 0.633
Sn 0.496 0.250 0.963
Sn 0.504 0.750 0.037
I 0.059 0.750 0.066
I 0.356 0.514 0.721
I 0.356 0.986 0.721
I 0.644 0.014 0.279
I 0.644 0.486 0.279
I 0.941 0.250 0.934

Properties
The total energy comes out at -0.2070 Ry per atom. Its uncorrected formation energy is -0.89 eV/atom. The space group is P2_1/m (11). The value obtained for the volume is 48.4 A^3/atom.


Entry 13:
Here is a relaxed structure of RbSnI3 from Alexandria via LeMat-Bulk. Energies are from PBE.

Unit cell a=10.664 b=4.768 c=17.526 alpha=90.00 beta=90.00 gamma=90.00
Element x y z (fractional)
Rb 0.074 0.250 0.173
Rb 0.426 0.750 0.673
Rb 0.574 0.250 0.327
Rb 0.926 0.750 0.827
Sn 0.164 0.750 0.440
Sn 0.336 0.250 0.940
Sn 0.664 0.750 0.060
Sn 0.836 0.250 0.560
I 0.022 0.750 0.614
I 0.161 0.750 0.005
I 0.206 0.250 0.786
I 0.294 0.750 0.286
I 0.339 0.250 0.505
I 0.478 0.250 0.114
I 0.522 0.750 0.886
I 0.661 0.750 0.495
I 0.706 0.250 0.714
I 0.794 0.750 0.214
I 0.839 0.250 0.995
I 0.978 0.250 0.386

Properties
The total energy comes out at -0.2085 Ry per atom. Its uncorrected formation energy is -0.91 eV/atom. The space group is Pnma (62). The value obtained for the volume is 44.6 A^3/atom.


Entry 14:
Here is a relaxed structure of RbSnI2 from Alexandria via LeMat-Bulk. Energies are from PBE.

Unit cell a=6.034 b=6.034 c=6.034 alpha=60.00 beta=60.00 gamma=60.00
Element x y z (fractional)
Rb 0.000 0.000 0.000
Sn 0.500 0.500 0.500
I 0.250 0.250 0.250
I 0.750 0.750 0.750

Properties
The total energy comes out at -0.1871 Ry per atom. Its uncorrected formation energy is -0.53 eV/atom. The relative energy among the computed polymorphs is 0.0 meV/atom. The space group is Fm-3m (225). The value obtained for the volume is 38.8 A^3/atom.


Entry 15:
Here is a relaxed structure of RbSnI3 from Alexandria via LeMat-Bulk. Energies are from PBE.

Unit cell a=10.640 b=10.640 c=10.092 alpha=98.32 beta=98.32 gamma=25.78
Element x y z (fractional)
Rb 0.191 0.191 0.229
Rb 0.809 0.809 0.771
Sn 0.419 0.419 0.322
Sn 0.581 0.581 0.678
I 0.010 0.010 0.256
I 0.181 0.181 0.600
I 0.345 0.345 0.053
I 0.655 0.655 0.947
I 0.819 0.819 0.400
I 0.990 0.990 0.744

Properties
The total energy comes out at -0.2050 Ry per atom. Its uncorrected formation energy is -0.87 eV/atom. The space group is C2/m (12). The value obtained for the volume is 49.1 A^3/atom.